1.
A geometry-optimized Cs12Tl5Au3 structure, computed with PBE.

Symmetry ... No. 230
ΔE_f ... 8.90 kJ per mole of atoms

```
Cs12Tl5Au3
1.0
-18.4206 -5.7400 -0.4948
11.1324 -14.6051 5.9389
1.7902 14.8341 12.2169
Cs Tl Au
48 20 12
direct
0.8932 0.8270 0.7659
0.0611 0.4338 0.8270
0.9338 0.1068 0.8727
0.4389 0.6730 0.0662
0.2341 0.6730 0.1068
0.8932 0.0662 0.6273
0.3727 0.9389 0.7659
0.5611 0.2341 0.1273
0.7659 0.3270 0.8932
0.8270 0.8932 0.2659
0.2341 0.5611 0.6273
0.1273 0.7341 0.5611
0.3932 0.2659 0.3270
0.6273 0.0611 0.2341
0.1730 0.1068 0.7341
0.7341 0.6068 0.1730
0.0611 0.6273 0.7341
0.1730 0.0662 0.9389
0.3932 0.1273 0.5662
0.5662 0.9389 0.6730
0.3270 0.7659 0.3932
0.5611 0.3270 0.9338
0.9389 0.3727 0.2659
0.3270 0.5611 0.4338
0.6068 0.7341 0.6730
0.1068 0.9338 0.3727
0.8727 0.2659 0.4389
0.4338 0.3727 0.6068
0.0662 0.8932 0.1273
0.1068 0.1730 0.2341
0.8270 0.9338 0.0611
0.6730 0.2341 0.6068
0.9389 0.5662 0.1730
0.6273 0.5662 0.8932
0.5662 0.6273 0.3932
0.4338 0.0611 0.3270
0.6730 0.4389 0.5662
0.0662 0.1730 0.4389
0.1273 0.3932 0.0662
0.8727 0.6068 0.9338
0.9338 0.8270 0.5611
0.2659 0.3932 0.8270
0.4389 0.7659 0.8727
0.6068 0.8727 0.4338
0.7341 0.1273 0.0611
0.7659 0.4389 0.3727
0.3727 0.4338 0.1068
0.2659 0.8727 0.9389
0.5000 0.5000 0.0000
0.2500 0.3750 0.6250
0.5000 0.0000 0.0000
0.8750 0.6250 0.7500
0.3750 0.1250 0.7500
0.5000 0.5000 0.5000
0.1250 0.3750 0.2500
0.5000 0.0000 0.5000
0.7500 0.6250 0.3750
0.2500 0.8750 0.1250
0.8750 0.2500 0.6250
0.7500 0.1250 0.8750
0.0000 0.5000 0.5000
0.3750 0.2500 0.1250
0.0000 0.5000 0.0000
0.1250 0.7500 0.3750
0.0000 0.0000 0.5000
0.6250 0.7500 0.8750
0.6250 0.8750 0.2500
0.0000 0.0000 0.0000
0.3750 0.7500 0.6250
0.8750 0.7500 0.1250
0.2500 0.6250 0.8750
0.7500 0.3750 0.1250
0.1250 0.2500 0.8750
0.7500 0.8750 0.6250
0.6250 0.2500 0.3750
0.3750 0.6250 0.2500
0.6250 0.3750 0.7500
0.8750 0.1250 0.2500
0.2500 0.1250 0.3750
0.1250 0.8750 0.7500
```


2.
A geometry-optimized Sm4Tm3S8 structure, computed with PBE.

Symmetry ... No. 12
Energy relative to the elements, uncorrected ... -2.015 eV/atom

```
Sm4Tm3S8
1.0
-0.6716 -5.5654 -5.5153
6.8795 1.1493 3.6164
-3.5054 -0.9215 6.9707
S Tm Sm
8 3 4
direct
0.5000 0.7451 0.2549
0.0000 0.7458 0.2542
0.9895 0.7409 0.7409
0.5090 0.2595 0.2595
0.0105 0.2591 0.2591
0.5000 0.2549 0.7451
0.4910 0.7405 0.7405
0.0000 0.2542 0.7458
0.5000 0.5000 0.5000
0.5000 0.5000 0.0000
0.5000 0.0000 0.5000
0.5000 0.0000 0.0000
0.0000 0.0000 0.5000
0.0000 0.5000 0.0000
0.0000 0.0000 0.0000
```


3.
A geometry-optimized Pr2InSb3Pt4 structure, computed with PBE.

Symmetry ... No. 115
Energy relative to the elements, uncorrected ... -0.844 eV/atom

```
Pr2InSb3Pt4
1.0
4.5385 0.0000 0.0000
0.0000 4.5385 0.0000
0.0000 0.0000 11.0793
Sb Pt Pr In
3 4 2 1
direct
0.0000 0.5000 0.1315
0.0000 0.0000 0.5000
0.5000 0.0000 0.8685
0.5000 0.5000 0.0000
0.0000 0.0000 0.0000
0.5000 0.0000 0.6347
0.0000 0.5000 0.3653
0.5000 0.0000 0.2320
0.0000 0.5000 0.7680
0.5000 0.5000 0.5000
```


4.
A geometry-optimized SrNdTe2O8 structure, computed with PBE.

Symmetry ... No. 82
Energy relative to the elements, uncorrected ... -1.824 eV/atom

```
SrNdTe2O8
1.0
-0.9373 4.4776 -3.0246
-5.3912 -0.5688 0.8287
3.5571 1.4176 5.9681
O Nd Te Sr
8 1 2 1
direct
0.0869 0.9959 0.6812
0.1790 0.5834 0.8380
0.0041 0.4057 0.3188
0.6590 0.2546 0.8380
0.3147 0.9131 0.3188
0.4166 0.3410 0.1620
0.7454 0.8210 0.1620
0.5943 0.6853 0.6812
0.0000 0.0000 0.0000
0.5000 0.5000 0.0000
0.2500 0.7500 0.5000
0.7500 0.2500 0.5000
```